! PBE K2CdGaBi2, relaxed; values from VASP
&SYSTEM
  ibrav = 0, nat = 12, ntyp = 4
/
ATOMIC_SPECIES
K 39.10 K.upf
Cd 112.41 Cd.upf
Ga 69.72 Ga.upf
Bi 208.98 Bi.upf
CELL_PARAMETERS angstrom
-4.8042 -4.6183 -2.7632
-1.7104 -2.1976 6.6468
-2.4859 9.1339 -1.5266
ATOMIC_POSITIONS angstrom
K -3.0697 0.7295 -0.5487
K -5.9308 1.5885 2.9059
K -2.6521 5.0170 0.9763
K -6.3484 -2.6991 1.3808
Cd -1.2828 -1.6482 4.9851
Cd -0.4276 -0.5494 1.6617
Ga -3.6849 -3.9574 3.6035
Ga -2.8297 -2.8585 0.2801
Bi -4.7331 -2.2493 -1.9616
Bi -3.2759 -1.1252 2.6918
Bi -5.7246 3.4432 -0.3347
Bi -4.2674 4.5673 4.3187
! Space group ... Ibam, No. 72
! Formation enthalpy at 0 K ... -1.81 eV/f.u.

=====

! PBE KCdGaBi2, relaxed; values from VASP
&SYSTEM
  ibrav = 0, nat = 5, ntyp = 4
/
ATOMIC_SPECIES
K 39.10 K.upf
Cd 112.41 Cd.upf
Ga 69.72 Ga.upf
Bi 208.98 Bi.upf
CELL_PARAMETERS angstrom
4.8912 0.0000 0.0000
0.0000 4.8912 0.0000
-2.4456 -2.4456 6.9499
ATOMIC_POSITIONS angstrom
K 0.0000 0.0000 0.0000
Cd 2.4456 0.0000 3.4750
Ga 0.0000 2.4456 3.4750
Bi 2.4456 2.4456 1.7290
Bi 0.0000 0.0000 5.2209
! Space group ... I-4m2, No. 119
! Formation enthalpy at 0 K ... -0.85 eV/f.u.

=====

! PBE LiCdGaBi, relaxed; values from VASP
&SYSTEM
  ibrav = 0, nat = 4, ntyp = 4
/
ATOMIC_SPECIES
Li 6.94 Li.upf
Bi 208.98 Bi.upf
Ga 69.72 Ga.upf
Cd 112.41 Cd.upf
CELL_PARAMETERS angstrom
-1.6562 -3.4456 -3.4137
1.4122 -4.9087 0.4220
-3.4313 -3.5430 1.3934
ATOMIC_POSITIONS angstrom
Li -0.9188 -2.9743 -0.3996
Bi 0.0000 0.0000 0.0000
Ga -1.8376 -5.9486 -0.7992
Cd -2.7565 -8.9230 -1.1988
! Space group ... F-43m, No. 216
! Formation enthalpy at 0 K ... -0.40 eV/f.u.

=====

! PBE MnCdGaBi2, relaxed; values from VASP
&SYSTEM
  ibrav = 0, nat = 5, ntyp = 4
/
ATOMIC_SPECIES
Mn 54.94 Mn.upf
Bi 208.98 Bi.upf
Ga 69.72 Ga.upf
Cd 112.41 Cd.upf
CELL_PARAMETERS angstrom
-0.8472 -4.9443 -1.8788
4.3392 0.1107 -2.2478
2.3162 -2.0574 4.3699
ATOMIC_POSITIONS angstrom
Mn 0.0000 0.0000 0.0000
Bi 1.1581 -1.0287 2.1849
Bi -0.4236 -2.4721 -0.9394
Ga 2.1696 0.0553 -1.1239
Cd 2.9041 -3.4455 0.1216
! Space group ... P4/mmm, No. 123
! Formation enthalpy at 0 K ... 1.80 eV/f.u.

=====

! PBE NaCdGaBi, relaxed; values from VASP
&SYSTEM
  ibrav = 0, nat = 4, ntyp = 4
/
ATOMIC_SPECIES
Na 22.99 Na.upf
Bi 208.98 Bi.upf
Ga 69.72 Ga.upf
Cd 112.41 Cd.upf
CELL_PARAMETERS angstrom
5.2709 0.0000 0.0000
2.6355 4.5647 0.0000
2.6355 1.5216 4.3037
ATOMIC_POSITIONS angstrom
Na 0.0000 0.0000 0.0000
Bi 7.9064 4.5647 3.2278
Ga 2.6355 1.5216 1.0759
Cd 5.2709 3.0432 2.1518
! Space group ... F-43m, No. 216
! Formation enthalpy at 0 K ... -0.28 eV/f.u.

=====

! PBE Na2CdGaBi2, relaxed; values from VASP
&SYSTEM
  ibrav = 0, nat = 12, ntyp = 4
/
ATOMIC_SPECIES
Na 22.99 Na.upf
Cd 112.41 Cd.upf
Ga 69.72 Ga.upf
Bi 208.98 Bi.upf
CELL_PARAMETERS angstrom
6.9564 0.0000 0.0000
0.0000 6.9192 0.0000
-3.4782 -3.4596 7.4952
ATOMIC_POSITIONS angstrom
Na 1.6896 0.0000 2.4202
Na 1.7886 3.4596 5.0750
Na -1.7886 0.0000 5.0750
Na 5.2668 3.4596 2.4202
Cd 0.0000 5.1894 0.0000
Cd 0.0000 1.7298 0.0000
Ga 3.4782 5.1894 0.0000
Ga 3.4782 1.7298 0.0000
Bi 5.1237 0.0000 1.7646
Bi 1.8327 3.4596 1.7646
Bi 1.6455 0.0000 5.7306
Bi -1.6455 3.4596 5.7306
! Space group ... Ibam, No. 72
! Formation enthalpy at 0 K ... -1.21 eV/f.u.

=====

! PBE CdGaBi2O6, relaxed; values from VASP
&SYSTEM
  ibrav = 0, nat = 10, ntyp = 4
/
ATOMIC_SPECIES
Cd 112.41 Cd.upf
Ga 69.72 Ga.upf
Bi 208.98 Bi.upf
O 16.00 O.upf
CELL_PARAMETERS angstrom
-4.9799 2.6486 0.9137
-2.3910 -0.1217 5.1883
0.0009 5.0390 3.2653
ATOMIC_POSITIONS angstrom
Cd -5.9031 5.0333 6.8374
Ga -2.3246 1.0683 2.1003
Bi -3.8978 3.4198 4.5771
Bi -0.1373 4.8032 3.1961
O -3.3903 2.7327 2.2981
O -3.2971 1.5776 6.0497
O -6.3071 3.7272 4.7315
O -3.7067 4.8790 6.4146
O -3.7170 5.6442 3.8275
O -1.6751 4.1661 4.7890
! Uncorrected formation energy ... -1.233 eV/atom
! Space group ... R3, No. 146

=====

! PBE CdGaBiO4, relaxed; values from VASP
&SYSTEM
  ibrav = 0, nat = 14, ntyp = 4
/
ATOMIC_SPECIES
Cd 112.41 Cd.upf
Ga 69.72 Ga.upf
Bi 208.98 Bi.upf
O 16.00 O.upf
CELL_PARAMETERS angstrom
6.4989 0.0000 0.0000
3.2494 5.7119 0.0347
3.2494 1.7731 5.4299
ATOMIC_POSITIONS angstrom
Cd 4.8742 0.8866 2.7149
Cd 1.6247 0.8866 2.7149
Ga 6.4989 3.7627 0.6793
Ga 6.4989 3.7223 4.7852
Bi 0.0000 0.0000 0.0000
Bi 3.2494 3.7425 2.7323
O 9.7484 5.6124 4.1923
O 6.4989 5.5248 4.1283
O 6.4989 1.9603 1.3362
O 3.2494 1.8727 1.2722
O 4.9561 4.6907 1.3568
O 8.0417 4.6907 1.3568
O 4.9561 2.7944 4.1077
O 8.0417 2.7944 4.1077
! Uncorrected formation energy ... -1.281 eV/atom
! Space group ... Imma, No. 74

=====

Raw total energy per entry: -31.41, -13.65, -10.14, -19.07, -9.42, -31.11, -53.79, -73.25 eV for the cell shown